(1)
This record from the Alexandria database describes an optimized crystal structure of Li3HPd. The functional is PBE.

Calculated values
* calculated total energy: -13.019 eV per cell
* symmetry: Pm-3m, No. 221

abc: 4.7709 4.7709 4.7709
angles: 90.00 90.00 90.00
Closest atoms and distances in Å follow each position.
Sites, in units of the cell vectors:
Pd: 0.0000 0.0000 0.0000  6 Li 2.39
Li: 0.5000 0.0000 0.0000  2 Pd 2.39
Li: 0.0000 0.0000 0.5000  2 Pd 2.39
Li: 0.0000 0.5000 0.0000  2 Pd 2.39
H: 0.5000 0.5000 0.5000  12 Li 3.37



(2)
This record from the Alexandria database describes an optimized crystal structure of Np2CrS5. The functional is PBE.

Calculated values
* ΔE_f (raw): -803 kJ/mol of formula units
* calculated total energy: -128.930 eV per cell
* symmetry: Cmcm, No. 63

abc: 5.2893 6.7978 12.1009
angles: 90.00 90.00 112.90
Closest atoms and distances in Å follow each position.
Sites, in units of the cell vectors:
Np: 0.8504 0.7007 0.4311  6 S 2.62-2.78
Np: 0.8504 0.7007 0.0689  6 S 2.62-2.78
Np: 0.1496 0.2993 0.5689  6 S 2.62-2.78
Np: 0.1496 0.2993 0.9311  6 S 2.62-2.78
S: 0.3164 0.6329 0.4171  1 Cr 2.52, 3 Np 2.68-2.78
S: 0.6836 0.3671 0.9171  1 Cr 2.52, 3 Np 2.68-2.78
S: 0.0527 0.1054 0.3765  1 Cr 2.36, 2 Np 2.62-2.63
S: 0.0527 0.1054 0.1235  1 Cr 2.36, 2 Np 2.62-2.63
S: 0.9473 0.8946 0.6235  1 Cr 2.36, 2 Np 2.62-2.63
S: 0.2759 0.5518 0.7500  2 Cr 2.67, 2 Np 2.70
S: 0.9473 0.8946 0.8765  1 Cr 2.36, 2 Np 2.62-2.63
S: 0.3164 0.6329 0.0829  1 Cr 2.52, 3 Np 2.68-2.78
S: 0.7241 0.4482 0.2500  2 Cr 2.67, 2 Np 2.70
S: 0.6836 0.3671 0.5829  1 Cr 2.52, 3 Np 2.68-2.78
Cr: 0.8034 0.6069 0.7500  4 S 2.36-2.52
Cr: 0.1966 0.3931 0.2500  4 S 2.36-2.52